## Tb2Y4Ho3 (PBE-GGA)

Data for a geometry-optimized Tb2Y4Ho3 structure.

The structure in extended XYZ format:
```
18
Lattice="-5.276 -0.653 -3.053 -0.582 -7.948 -7.945 -6.234 -9.136 2.076" Properties=species:S:1:pos:R:3 pbc="T T T"
Tb -5.605 -6.929 -2.067
Tb -5.471 -10.823 -2.453
Tb -6.487 -10.808 -6.855
Tb -6.621 -6.914 -6.469
Y -3.923 -9.184 -8.074
Y -1.490 -7.378 -6.487
Y -8.169 -8.553 -0.848
Y -10.602 -10.359 -2.435
Y -3.151 -5.125 -0.527
Y -7.876 -12.616 -4.079
Y -8.941 -12.612 -8.395
Y -4.216 -5.121 -4.843
Ho -5.656 -3.453 -2.298
Ho -10.176 -14.842 -6.197
Ho -6.437 -14.284 -6.624
Ho -1.916 -2.895 -2.725
Ho -4.195 -8.593 -4.642
Ho -7.898 -9.144 -4.280
```

Calculated values
ΔH_f (0 K)	0.098	eV/atom
energy	-95.9	eV for the cell shown